(1)
The following is a GGA-PBE calculation of a relaxed structure of YSnF, from Alexandria via LeMat-Bulk.

a = 3.869 Å, b = 3.869 Å, c = 5.242 Å
α = 90.00°, β = 90.00°, γ = 120.00°
Sites, in units of the cell vectors:
Y (0.000, 0.000, 0.000)
Sn (0.333, 0.667, 0.500)
F (0.667, 0.333, 0.000)

Theoretical density = 5.5 g cm⁻³
E above lowest polymorph = 47 meV/atom
Symmetry = P-6m2 (187)
DFT total energy = -6.01 eV per atom
Formation energy from raw total energies = -1901 meV per atom



(2)
The following is a GGA-PBE calculation of a relaxed structure of Y2SnF, from Alexandria via LeMat-Bulk.

a = 6.288 Å, b = 6.288 Å, c = 6.288 Å
α = 109.33°, β = 109.33°, γ = 109.76°
Sites, in units of the cell vectors:
Y (0.045, 0.625, 0.920)
Y (0.375, 0.295, 0.420)
Y (0.705, 0.125, 0.080)
Y (0.875, 0.955, 0.580)
Sn (0.250, 0.750, 0.500)
Sn (0.500, 0.500, 0.000)
F (0.000, 0.000, 0.000)
F (0.750, 0.250, 0.500)

Theoretical density = 5.5 g cm⁻³
E above lowest polymorph = 0 meV/atom
Symmetry = I-42d (122)
DFT total energy = -6.22 eV per atom
Formation energy from raw total energies = -1523 meV per atom



| no. | magnetization (μB per formula unit) |
| --- | --- |
| 1 | 0.00 |
| 2 | 1.00 |